# PBE LaErTe2, optimized geometry
# Raw total energy (eV per atom): -5.217
# Magnetization (Bohr magnetons per cell): 0.00
# Uncorrected formation energy (eV/atom): -1.273
# DOS at the Fermi energy (states/eV/cell): 3.9
data_LaErTe2
_symmetry_space_group_name_H-M 'P 4/m m m'
_symmetry_Int_Tables_number 123
_symmetry_space_group_name_Hall '-P 4 2'
_cell_length_a 5.423
_cell_length_b 5.423
_cell_length_c 3.873
_cell_angle_alpha 90.00
_cell_angle_beta 90.00
_cell_angle_gamma 90.00
loop_
_atom_site_label
_atom_site_fract_x
_atom_site_fract_y
_atom_site_fract_z
La1 0.000 0.000 0.000
Er1 0.500 0.500 0.000
Te1 0.000 0.500 0.500